## CeZn2GaPd2 (PBE)

Data for a relaxed CeZn2GaPd2 crystal.

Cell: 4.675 4.675 5.715 Å, 90.00 90.00 90.00°
Space group P4/mmm (No. 123)
One atom of each set of equivalent atoms:
Ce: 0.000 0.000 0.000
Zn: 0.500 0.500 0.242
Ga: 0.000 0.000 0.500
Pd: 0.000 0.500 0.500

Values from the calculation:
crystal system = tetragonal
uncorrected energy = -3.91 eV per atom
DFT formation energy = -257 meV per atom
size of the total moment = 1.16 μB per cell